{
  "formula": "Zr2Sc",
  "functional": "PBE-GGA",
  "state": "optimized geometry",
  "lattice": [[16.8626, 0.0000, 0.0000], [0.0000, 3.2283, 0.0000], [0.0000, 0.0000, 5.1573]],
  "species": ["Sc", "Sc", "Sc", "Sc", "Zr", "Zr", "Zr", "Zr", "Zr", "Zr", "Zr", "Zr"],
  "frac_coords": [[0.6682, 0.0000, 0.0000], [0.1680, 0.5000, 0.0000], [0.7765, 0.0000, 0.5000], [0.2762, 0.5000, 0.5000], [0.3369, 0.0000, 0.0000], [0.9998, 0.0000, 0.0000], [0.4997, 0.5000, 0.0000], [0.8374, 0.5000, 0.0000], [0.1070, 0.0000, 0.5000], [0.4447, 0.0000, 0.5000], [0.6075, 0.5000, 0.5000], [0.9446, 0.5000, 0.5000]],
  "rho_kg_m3": 5380,
  "space_group": "Pmmn",
  "ef_ev_per_atom": -0.0178,
  "energy_ev_per_atom": -7.8253
}